A relaxed structure of CaCr2F6, computed with GGA+U.

Output
Space-group type = No. 14
VASP energy = -6.08 eV per atom
Calculated volume = 268.4 Å³/cell
ρ = 3.19 g cm⁻³

a = 5.737 Å, b = 4.748 Å, c = 10.973 Å
α = 90.00°, β = 116.09°, γ = 90.00°
Element x y z (fractional)
1 Ca 0.000 0.000 0.000
2 Ca 0.000 0.500 0.500
3 Cr 0.325 0.029 0.820
4 Cr 0.325 0.471 0.320
5 Cr 0.675 0.529 0.680
6 Cr 0.675 0.971 0.180
7 F 0.031 0.249 0.333
8 F 0.031 0.251 0.833
9 F 0.322 0.708 0.474
10 F 0.322 0.792 0.974
11 F 0.360 0.201 0.181
12 F 0.360 0.299 0.681
13 F 0.640 0.701 0.319
14 F 0.640 0.799 0.819
15 F 0.678 0.208 0.026
16 F 0.678 0.292 0.526
17 F 0.969 0.749 0.167
18 F 0.969 0.751 0.667